# 1
First-principles (PBE) data for a relaxed structure of Zn2RePb, as listed in Alexandria via LeMat-Bulk.

a = 2.9576 Å, b = 2.9576 Å, c = 8.7444 Å
α = 90.00°, β = 90.00°, γ = 90.00°
With the nearest neighbours (Å) after each atom.
Atoms (fractional coordinates):
Zn: 0.0000 0.0000 0.0000  4 Re 2.71, 8 Zn 2.73-2.96
Zn: 0.5000 0.5000 0.2012  8 Zn 2.73-2.96
Re: 0.5000 0.5000 0.8036  4 Zn 2.71, 4 Re 2.96
Pb: 0.0000 0.0000 0.5463  4 Pb 2.96, 4 Re 3.07

## Properties
* calculated formation energy: 0.600 eV/atom

---

# 2
First-principles (PBE) data for a relaxed structure of LiCoAgSn, as listed in Alexandria via LeMat-Bulk.

a = 6.2538 Å, b = 6.2538 Å, c = 6.2538 Å
α = 90.00°, β = 90.00°, γ = 90.00°
With the nearest neighbours (Å) after each atom.
Atoms (fractional coordinates):
Li: 0.0000 0.0000 0.0000  4 Sn 2.71, 4 Ag 2.71
Li: 0.0000 0.5000 0.5000  4 Sn 2.71, 4 Ag 2.71
Li: 0.5000 0.0000 0.5000  4 Sn 2.71, 4 Ag 2.71
Li: 0.5000 0.5000 0.0000  4 Sn 2.71, 4 Ag 2.71
Co: 0.0000 0.0000 0.5000  4 Ag 2.71, 4 Sn 2.71
Co: 0.0000 0.5000 0.0000  4 Ag 2.71, 4 Sn 2.71
Co: 0.5000 0.0000 0.0000  4 Ag 2.71, 4 Sn 2.71
Co: 0.5000 0.5000 0.5000  4 Ag 2.71, 4 Sn 2.71
Ag: 0.2500 0.2500 0.2500  4 Li 2.71, 4 Co 2.71
Ag: 0.2500 0.7500 0.7500  4 Li 2.71, 4 Co 2.71
Ag: 0.7500 0.2500 0.7500  4 Li 2.71, 4 Co 2.71
Ag: 0.7500 0.7500 0.2500  4 Li 2.71, 4 Co 2.71
Sn: 0.2500 0.2500 0.7500  4 Li 2.71, 4 Co 2.71
Sn: 0.2500 0.7500 0.2500  4 Li 2.71, 4 Co 2.71
Sn: 0.7500 0.2500 0.2500  4 Li 2.71, 4 Co 2.71
Sn: 0.7500 0.7500 0.7500  4 Li 2.71, 4 Co 2.71

## Properties
* calculated formation energy: -0.066 eV/atom

---

# 3
First-principles (PBE) data for a relaxed structure of FeSb2Cl, as listed in Alexandria via LeMat-Bulk.

a = 3.2223 Å, b = 4.8699 Å, c = 11.7990 Å
α = 90.00°, β = 90.00°, γ = 90.00°
With the nearest neighbours (Å) after each atom.
Atoms (fractional coordinates):
Fe: 0.0000 0.0000 0.0000  4 Sb 2.70, 4 Cl 2.92
Fe: 0.5000 0.5000 0.5000  4 Sb 2.70, 4 Cl 2.92
Sb: 0.0000 0.5000 0.3164  2 Fe 2.70
Sb: 0.0000 0.5000 0.6836  2 Fe 2.70
Sb: 0.5000 0.0000 0.1836  2 Fe 2.70
Sb: 0.5000 0.0000 0.8164  2 Fe 2.70
Cl: 0.0000 0.0000 0.5000  4 Fe 2.92, 2 Cl 3.22, 4 Sb 3.26
Cl: 0.5000 0.5000 0.0000  4 Fe 2.92, 2 Cl 3.22, 4 Sb 3.26

## Properties
* energy: -35.7 eV per cell

---

# 4
First-principles (PBE) data for a relaxed structure of CaMgTa2, as listed in Alexandria via LeMat-Bulk.

a = 3.1513 Å, b = 5.5355 Å, c = 10.4876 Å
α = 90.00°, β = 90.00°, γ = 90.00°
With the nearest neighbours (Å) after each atom.
Atoms (fractional coordinates):
Ca: 0.0000 0.0000 0.0000  2 Ca 3.15, 6 Ta 3.19-3.30, 2 Mg 3.27
Ca: 0.5000 0.5000 0.5000  2 Ca 3.15, 6 Ta 3.19-3.30, 2 Mg 3.27
Mg: 0.0000 0.5000 0.7733  6 Ta 3.04-3.23, 2 Mg 3.15, 2 Ca 3.27
Mg: 0.5000 0.0000 0.2733  6 Ta 3.04-3.23, 2 Mg 3.15, 2 Ca 3.27
Ta: 0.0000 0.0000 0.5208  2 Ta 2.64
Ta: 0.0000 0.5000 0.2232  2 Ta 2.64
Ta: 0.5000 0.0000 0.7232  2 Ta 2.64
Ta: 0.5000 0.5000 0.0208  2 Ta 2.64

## Properties
* calculated formation energy: 0.613 eV/atom

---

# 5
First-principles (PBE) data for a relaxed structure of Pr2DySc, as listed in Alexandria via LeMat-Bulk.

a = 5.0778 Å, b = 5.0778 Å, c = 4.9272 Å
α = 90.00°, β = 90.00°, γ = 90.00°
With the nearest neighbours (Å) after each atom.
Atoms (fractional coordinates):
Pr: 0.0000 0.5000 0.0000  4 Sc 3.54, 4 Dy 3.54, 4 Pr 3.59
Pr: 0.5000 0.0000 0.0000  4 Sc 3.54, 4 Dy 3.54, 4 Pr 3.59
Dy: 0.0000 0.0000 0.5000  8 Pr 3.54, 4 Sc 3.59
Sc: 0.5000 0.5000 0.5000  8 Pr 3.54, 4 Dy 3.59

## Properties
* calculated formation energy: 0.041 eV/atom

---

# 6
First-principles (PBE) data for a relaxed structure of CaYAl, as listed in Alexandria via LeMat-Bulk.

a = 5.2051 Å, b = 5.2051 Å, c = 3.5687 Å
α = 90.00°, β = 90.00°, γ = 120.00°
With the nearest neighbours (Å) after each atom.
Atoms (fractional coordinates):
Ca: 0.0000 0.0000 0.0000  3 Al 3.17, 3 Y 3.37
Y: 0.6667 0.3333 0.4266  3 Al 3.18, 3 Ca 3.37
Al: 0.3333 0.6667 0.7148  3 Ca 3.17, 3 Y 3.18

## Properties
* calculated formation energy: -0.048 eV/atom

---

no.,N(E_F) (states/eV/atom)
1,0.60
2,0.73
3,0.85
4,0.80
5,1.38
6,0.91